1.
Computed, not measured: an optimized crystal structure of TlZnPdPt at the PBE level of DFT.

Cell lengths 4.5841, 4.5841, 4.5841 Å; angles 60.00, 60.00, 60.00 degrees
Fractional positions:
Zn (0.7500, 0.7500, 0.7500)
Tl (0.2500, 0.2500, 0.2500)
Pd (0.5000, 0.5000, 0.5000)
Pt (0.0000, 0.0000, 0.0000)

Results
For the energy of formation, the calculation gives -201 meV per atom. The value obtained for the calculated density is 13.93 g/cm3. The density of states at the Fermi level comes out at 1.5 states/eV/f.u.



2.
Computed, not measured: an optimized crystal structure of CeTm4Sn at the PBE level of DFT.

Cell lengths 5.3725, 9.4870, 6.7345 Å; angles 90.00, 90.00, 90.01 degrees
Fractional positions:
Ce (0.7499, 0.9027, 0.7500)
Ce (0.2501, 0.0973, 0.2500)
Tm (0.2501, 0.4102, 0.7500)
Tm (0.7499, 0.5898, 0.2500)
Tm (0.2499, 0.0655, 0.7500)
Tm (0.7501, 0.9345, 0.2500)
Tm (0.2499, 0.7468, 0.0043)
Tm (0.7501, 0.2532, 0.5043)
Tm (0.2499, 0.7468, 0.4957)
Tm (0.7501, 0.2532, 0.9957)
Sn (0.7501, 0.5705, 0.7500)
Sn (0.2499, 0.4295, 0.2500)

Results
For the energy of formation, the calculation gives -200 meV per atom. The value obtained for the calculated density is 9.04 g/cm3. The density of states at the Fermi level comes out at 7.5 states/eV/f.u.